DFT (PBE-GGA) results for a relaxed KBaCr crystal.

Cell lengths 8.3798, 8.3798, 8.3798 Å; angles 150.56, 150.56, 42.13 degrees
Last column: nearest neighbours and their distance in Å.
Element x y z (fractional)
K1 0.0000 0.0000 0.0000  4 Cr 3.79, 1 Ba 4.19
Ba1 0.7322 0.7322 0.0000  4 Cr 3.55
Cr1 0.3529 0.3529 0.0000  4 Ba 3.55, 4 K 3.79

uncorrected energy: -3.505 eV/atom
SG: I4mm (107)
N(E_F): 2.3 states/eV/f.u.